No. 1
AcSiMo PBE relaxed; VASP energy = -6.304 eV/atom; magnetization = 0.08 Bohr magnetons per cell
1.0
0.000 3.277 3.277
3.277 0.000 3.277
3.277 3.277 0.000
Ac Mo Si
1 1 1
Direct
0.250 0.250 0.250 Ac
0.000 0.000 0.000 Mo
0.750 0.750 0.750 Si


No. 2
PrPaNO PBE relaxed; VASP energy = -8.231 eV/atom; magnetization = 2.82 Bohr magnetons per cell
1.0
-7.055 0.210 1.356
1.230 -4.122 7.034
0.625 4.541 2.551
N O Pa Pr
4 4 4 4
Direct
0.935 0.138 0.051 N
0.435 0.862 0.051 N
0.565 0.138 0.551 N
0.065 0.862 0.551 N
0.408 0.376 0.051 O
0.908 0.624 0.051 O
0.092 0.376 0.551 O
0.592 0.624 0.551 O
0.083 0.374 0.049 Pa
0.583 0.626 0.049 Pa
0.417 0.374 0.549 Pa
0.917 0.626 0.549 Pa
0.590 0.126 0.051 Pr
0.090 0.874 0.051 Pr
0.910 0.126 0.551 Pr
0.410 0.874 0.551 Pr


No. 3
HoErPt PBE relaxed; energy of formation from the pure elements = -971 meV per atom; VASP energy = -6.037 eV/atom; magnetization = 0.01 Bohr magnetons per cell
1.0
-2.790 6.519 -0.110
-0.057 -0.104 -4.731
-7.993 -3.418 0.171
Er Ho Pt
4 4 4
Direct
0.489 0.750 0.168 Er
0.989 0.750 0.332 Er
0.011 0.250 0.668 Er
0.511 0.250 0.832 Er
0.145 0.250 0.080 Ho
0.645 0.250 0.420 Ho
0.355 0.750 0.580 Ho
0.855 0.750 0.920 Ho
0.742 0.250 0.094 Pt
0.242 0.250 0.406 Pt
0.758 0.750 0.594 Pt
0.258 0.750 0.906 Pt


Repeat the third record exactly.
HoErPt PBE relaxed; energy of formation from the pure elements = -971 meV per atom; VASP energy = -6.037 eV/atom; magnetization = 0.01 Bohr magnetons per cell
1.0
-2.790 6.519 -0.110
-0.057 -0.104 -4.731
-7.993 -3.418 0.171
Er Ho Pt
4 4 4
Direct
0.489 0.750 0.168 Er
0.989 0.750 0.332 Er
0.011 0.250 0.668 Er
0.511 0.250 0.832 Er
0.145 0.250 0.080 Ho
0.645 0.250 0.420 Ho
0.355 0.750 0.580 Ho
0.855 0.750 0.920 Ho
0.742 0.250 0.094 Pt
0.242 0.250 0.406 Pt
0.758 0.750 0.594 Pt
0.258 0.750 0.906 Pt


Repeat the second record exactly.
PrPaNO PBE relaxed; VASP energy = -8.231 eV/atom; magnetization = 2.82 Bohr magnetons per cell
1.0
-7.055 0.210 1.356
1.230 -4.122 7.034
0.625 4.541 2.551
N O Pa Pr
4 4 4 4
Direct
0.935 0.138 0.051 N
0.435 0.862 0.051 N
0.565 0.138 0.551 N
0.065 0.862 0.551 N
0.408 0.376 0.051 O
0.908 0.624 0.051 O
0.092 0.376 0.551 O
0.592 0.624 0.551 O
0.083 0.374 0.049 Pa
0.583 0.626 0.049 Pa
0.417 0.374 0.549 Pa
0.917 0.626 0.549 Pa
0.590 0.126 0.051 Pr
0.090 0.874 0.051 Pr
0.910 0.126 0.551 Pr
0.410 0.874 0.551 Pr


What did the second record say?
PrPaNO PBE relaxed; VASP energy = -8.231 eV/atom; magnetization = 2.82 Bohr magnetons per cell
1.0
-7.055 0.210 1.356
1.230 -4.122 7.034
0.625 4.541 2.551
N O Pa Pr
4 4 4 4
Direct
0.935 0.138 0.051 N
0.435 0.862 0.051 N
0.565 0.138 0.551 N
0.065 0.862 0.551 N
0.408 0.376 0.051 O
0.908 0.624 0.051 O
0.092 0.376 0.551 O
0.592 0.624 0.551 O
0.083 0.374 0.049 Pa
0.583 0.626 0.049 Pa
0.417 0.374 0.549 Pa
0.917 0.626 0.549 Pa
0.590 0.126 0.051 Pr
0.090 0.874 0.051 Pr
0.910 0.126 0.551 Pr
0.410 0.874 0.551 Pr